Here is a crystal of NiTe2 relaxed with PBEsol from Alexandria. Energies are from meta-GGA SCAN.

Unit cell a=6.6982 b=6.6982 c=5.4595 alpha=90.00 beta=90.00 gamma=146.86
Fractional positions:
1 Ni 0.1725 0.8275 0.7500
2 Ni 0.8275 0.1725 0.2500
3 Te 0.1968 0.8032 0.2500
4 Te 0.4535 0.5465 0.2500
5 Te 0.5465 0.4535 0.7500
6 Te 0.8032 0.1968 0.7500

Uncorrected formation energy ... -0.1821 eV per atom
Fermi-level density of states ... 1.6 states/eV/f.u.
Uncorrected energy ... -30.4073 eV/atom

=====

Here is a crystal of Ni5Te relaxed with PBEsol from Alexandria. Energies are from meta-GGA SCAN.

Unit cell a=4.3864 b=4.3864 c=5.1252 alpha=106.89 beta=106.89 gamma=48.96
Fractional positions:
1 Ni 0.0000 0.0000 0.0000
2 Ni 0.3286 0.3286 0.1550
3 Ni 0.3340 0.3340 0.6800
4 Ni 0.6660 0.6660 0.3200
5 Ni 0.6714 0.6714 0.8450
6 Te 0.0000 0.0000 0.5000

Uncorrected formation energy ... 0.0594 eV per atom
Fermi-level density of states ... 7.6 states/eV/f.u.
Uncorrected energy ... -19.6269 eV/atom

=====

Here is a crystal of NiTe2 relaxed with PBEsol from Alexandria. Energies are from meta-GGA SCAN.

Unit cell a=4.4149 b=4.4149 c=3.4407 alpha=90.00 beta=90.00 gamma=90.00
Fractional positions:
1 Ni 0.0000 0.0000 0.0000
2 Te 0.0000 0.5000 0.5000
3 Te 0.5000 0.0000 0.5000

Uncorrected formation energy ... 0.2324 eV per atom
Fermi-level density of states ... 2.2 states/eV/f.u.
Uncorrected energy ... -29.9928 eV/atom

=====

Here is a crystal of Ni5Te relaxed with PBEsol from Alexandria. Energies are from meta-GGA SCAN.

Unit cell a=4.4317 b=4.4317 c=4.1376 alpha=90.00 beta=90.00 gamma=120.00
Fractional positions:
1 Ni 0.0000 0.6525 0.0000
2 Ni 0.3333 0.6667 0.5000
3 Ni 0.3475 0.3475 0.0000
4 Ni 0.6525 0.0000 0.0000
5 Ni 0.6667 0.3333 0.5000
6 Te 0.0000 0.0000 0.5000

Uncorrected formation energy ... 0.0604 eV per atom
Fermi-level density of states ... 7.9 states/eV/f.u.
Uncorrected energy ... -19.6259 eV/atom

=====

Here is a crystal of Ni2Te3 relaxed with PBEsol from Alexandria. Energies are from meta-GGA SCAN.

Unit cell a=3.6487 b=3.6487 c=8.9395 alpha=90.00 beta=90.00 gamma=120.00
Fractional positions:
1 Ni 0.3333 0.6667 0.3147
2 Ni 0.6667 0.3333 0.6853
3 Te 0.0000 0.0000 0.5000
4 Te 0.3333 0.6667 0.8354
5 Te 0.6667 0.3333 0.1646

Uncorrected formation energy ... -0.1466 eV per atom
Fermi-level density of states ... 3.5 states/eV/f.u.
Uncorrected energy ... -28.9666 eV/atom

=====

Here is a crystal of Ni8Te relaxed with PBEsol from Alexandria. Energies are from meta-GGA SCAN.

Unit cell a=5.6101 b=5.6101 c=5.6101 alpha=95.87 beta=95.87 gamma=142.70
Fractional positions:
1 Ni 0.0000 0.3400 0.3400
2 Ni 0.0000 0.6600 0.6600
3 Ni 0.3277 0.3277 0.6553
4 Ni 0.3277 0.6723 0.0000
5 Ni 0.3400 0.0000 0.3400
6 Ni 0.6600 0.0000 0.6600
7 Ni 0.6723 0.3277 0.0000
8 Ni 0.6723 0.6723 0.3447
9 Te 0.0000 0.0000 0.0000

Uncorrected formation energy ... 0.0494 eV per atom
Fermi-level density of states ... 9.0 states/eV/f.u.
Uncorrected energy ... -18.4659 eV/atom

=====

Here is a crystal of NiTe2 relaxed with PBEsol from Alexandria. Energies are from meta-GGA SCAN.

Unit cell a=3.8281 b=3.8281 c=5.1318 alpha=90.00 beta=90.00 gamma=120.00
Fractional positions:
1 Ni 0.0000 0.0000 0.0000
2 Te 0.3333 0.6667 0.2526
3 Te 0.6667 0.3333 0.7474

Uncorrected formation energy ... -0.2525 eV per atom
Fermi-level density of states ... 1.4 states/eV/f.u.
Uncorrected energy ... -30.4777 eV/atom

=====

Here is a crystal of NiTe2 relaxed with PBEsol from Alexandria. Energies are from meta-GGA SCAN.

Unit cell a=6.2991 b=6.2991 c=6.2991 alpha=90.00 beta=90.00 gamma=90.00
Fractional positions:
1 Ni 0.0000 0.0000 0.0000
2 Ni 0.0000 0.5000 0.5000
3 Ni 0.5000 0.0000 0.5000
4 Ni 0.5000 0.5000 0.0000
5 Te 0.1366 0.6366 0.8634
6 Te 0.1366 0.8634 0.3634
7 Te 0.3634 0.1366 0.8634
8 Te 0.3634 0.3634 0.3634
9 Te 0.6366 0.6366 0.6366
10 Te 0.6366 0.8634 0.1366
11 Te 0.8634 0.1366 0.6366
12 Te 0.8634 0.3634 0.1366

Uncorrected formation energy ... -0.1919 eV per atom
Fermi-level density of states ... 1.3 states/eV/f.u.
Uncorrected energy ... -30.4171 eV/atom